No. 1
The following is a DFT calculation (GGA-PBE) of a relaxed structure of Fe2IrPb.

POSCAR file:
```
Fe2IrPb
1.0
-0.5355 -1.0555 -3.6103
2.8176 0.5227 -0.5707
4.1577 -5.1243 0.8815
Fe Ir Pb
2 1 1
Direct
0.0000 0.9457 0.0549 Fe
0.0000 0.5543 0.4451 Fe
0.5000 0.2500 0.2500 Ir
0.5000 0.7500 0.7500 Pb
```

Properties
Crystal system: orthorhombic
Calculated density, g/cm³: 12.78
V, Å³/cell: 66.42
Uncorrected energy, eV per formula unit: -27.98


No. 2
The following is a DFT calculation (GGA-PBE) of a relaxed structure of Fe2IrPb.

POSCAR file:
```
Fe2IrPb
1.0
3.9801 0.0000 0.0000
0.0000 3.9801 0.0000
1.9900 1.9900 8.6757
Pb Ir Fe
2 2 4
Direct
0.0000 0.0000 0.0000 Pb
0.7500 0.2500 0.5000 Pb
0.5000 0.5000 0.0000 Ir
0.2500 0.7500 0.5000 Ir
0.5201 0.1250 0.2500 Fe
0.2299 0.6250 0.2500 Fe
0.3750 0.4799 0.7500 Fe
0.8750 0.7701 0.7500 Fe
```

Properties
Crystal system: tetragonal
Calculated density, g/cm³: 12.35
V, Å³/cell: 137.43
Uncorrected energy, eV per formula unit: -25.82


No. 3
The following is a DFT calculation (GGA-PBE) of a relaxed structure of Fe2IrPb.

POSCAR file:
```
Fe2IrPb
1.0
-4.2087 1.7036 -1.2781
-0.2364 -4.7107 0.0451
-0.8495 0.0686 2.8827
Fe Ir Pb
2 1 1
Direct
0.0000 0.0000 0.0000 Fe
0.5000 0.5000 0.0000 Fe
0.5000 0.0000 0.5000 Ir
0.0000 0.5000 0.5000 Pb
```

Properties
Crystal system: orthorhombic
Calculated density, g/cm³: 13.39
V, Å³/cell: 63.40
Uncorrected energy, eV per formula unit: -27.62


No. 4
The following is a DFT calculation (GGA-PBE) of a relaxed structure of FeIr2Pb.

POSCAR file:
```
FeIr2Pb
1.0
-2.9422 -2.3750 2.7524
-0.1295 -3.0853 3.5124
-0.2834 3.2646 4.0997
Fe Ir Pb
1 2 1
Direct
0.2632 0.2632 0.1749 Fe
0.9965 0.9965 0.0320 Ir
0.7402 0.7402 0.7885 Ir
0.5001 0.5001 0.5046 Pb
```

Properties
Crystal system: monoclinic
Calculated density, g/cm³: 15.70
V, Å³/cell: 68.48
Uncorrected energy, eV per formula unit: -28.20


No. 5
The following is a DFT calculation (GGA-PBE) of a relaxed structure of Fe2IrPb.

POSCAR file:
```
Fe2IrPb
1.0
-1.3357 -2.7046 0.7140
1.4848 -1.3552 -2.3596
5.1235 -1.4581 4.0615
Fe Ir Pb
2 1 1
Direct
0.0000 0.0000 0.0505 Fe
0.5000 0.5000 0.2387 Fe
0.0000 0.0000 0.4526 Ir
0.5000 0.5000 0.7582 Pb
```

Properties
Crystal system: tetragonal
Calculated density, g/cm³: 13.19
V, Å³/cell: 64.37
Uncorrected energy, eV per formula unit: -28.00


No. 6
The following is a DFT calculation (GGA-PBE) of a relaxed structure of Fe2IrPb.

POSCAR file:
```
Fe2IrPb
1.0
-1.2075 -1.0923 -4.4262
-3.5433 -1.6589 -2.6336
-2.1713 4.2587 -1.4831
Fe Ir Pb
2 1 1
Direct
0.0091 0.0091 0.9333 Fe
0.4909 0.4909 0.5667 Fe
0.7500 0.7500 0.7500 Ir
0.2500 0.2500 0.2500 Pb
```

Properties
Crystal system: monoclinic
Calculated density, g/cm³: 12.92
V, Å³/cell: 65.71
Uncorrected energy, eV per formula unit: -27.70


No. 7
The following is a DFT calculation (GGA-PBE) of a relaxed structure of FeIr2Pb.

POSCAR file:
```
FeIr2Pb
1.0
3.0491 0.0000 0.0000
0.0000 3.0491 0.0000
0.0000 0.0000 7.1708
Fe Ir Pb
1 2 1
Direct
0.5000 0.5000 0.7500 Fe
0.0000 0.0000 0.9568 Ir
0.0000 0.0000 0.5432 Ir
0.5000 0.5000 0.2500 Pb
```

Properties
Crystal system: tetragonal
Calculated density, g/cm³: 16.13
V, Å³/cell: 66.67
Uncorrected energy, eV per formula unit: -28.56


No. 8
The following is a DFT calculation (GGA-PBE) of a relaxed structure of FeIr2Pb.

POSCAR file:
```
FeIr2Pb
1.0
4.4070 0.0000 0.0000
0.0000 2.9073 -0.0219
0.0000 0.0587 5.3040
Fe Ir Pb
1 2 1
Direct
0.5000 0.8762 0.7636 Fe
0.0000 0.8742 0.0399 Ir
0.5000 0.3731 0.1651 Ir
0.0000 0.3765 0.5314 Pb
```

Properties
Crystal system: monoclinic
Calculated density, g/cm³: 15.82
V, Å³/cell: 67.96
Uncorrected energy, eV per formula unit: -28.12


No. 9
The following is a DFT calculation (GGA-PBE) of a relaxed structure of Fe2IrPb.

POSCAR file:
```
Fe2IrPb
1.0
-0.6534 -2.8647 0.4920
2.4583 -0.8137 -1.4731
3.9403 0.2106 6.4591
Fe Ir Pb
2 1 1
Direct
0.0000 0.0000 0.0438 Fe
0.0000 0.0000 0.4562 Fe
0.5000 0.5000 0.2500 Ir
0.5000 0.5000 0.7500 Pb
```

Properties
Crystal system: tetragonal
Calculated density, g/cm³: 12.63
V, Å³/cell: 67.18
Uncorrected energy, eV per formula unit: -27.83


No. 10
The following is a DFT calculation (GGA-PBE) of a relaxed structure of FeIrPb3.

POSCAR file:
```
FeIrPb3
1.0
-1.5806 4.0850 2.9876
-4.7123 -2.3295 0.6920
1.8458 -2.4490 4.3251
Pb Ir Fe
3 1 1
Direct
0.0000 0.5000 0.0000 Pb
0.0000 0.0000 0.5000 Pb
0.5000 0.0000 0.0000 Pb
0.0000 0.0000 0.0000 Ir
0.5000 0.5000 0.5000 Fe
```

Properties
Crystal system: cubic
Calculated density, g/cm³: 9.69
V, Å³/cell: 149.05
Uncorrected energy, eV per formula unit: -23.93


No. 11
The following is a DFT calculation (GGA-PBE) of a relaxed structure of FeIr2Pb.

POSCAR file:
```
FeIr2Pb
1.0
-0.3953 8.7664 -2.3574
-3.1375 8.4220 -1.3375
-0.9371 9.0226 0.5269
Fe Ir Pb
1 2 1
Direct
0.7421 0.7421 0.7421 Fe
0.0027 0.0027 0.0027 Ir
0.2564 0.2564 0.2564 Ir
0.4988 0.4988 0.4988 Pb
```

Properties
Crystal system: trigonal
Calculated density, g/cm³: 16.03
V, Å³/cell: 67.08
Uncorrected energy, eV per formula unit: -27.58


No. 12
The following is a DFT calculation (GGA-PBE) of a relaxed structure of FeIr4Pb.

POSCAR file:
```
FeIr4Pb
1.0
3.2015 -1.4399 3.9475
2.9069 3.6325 2.5020
-1.1661 1.3492 4.9724
Fe Ir Pb
1 4 1
Direct
0.0000 0.0000 0.0000 Fe
0.8763 0.3746 0.3746 Ir
0.3746 0.3746 0.8763 Ir
0.3746 0.8763 0.3746 Ir
0.3746 0.3746 0.3746 Ir
0.7500 0.7500 0.7500 Pb
```

Properties
Crystal system: cubic
Calculated density, g/cm³: 16.44
V, Å³/cell: 104.23
Uncorrected energy, eV per formula unit: -44.49


The lowest uncorrected energy belongs to which entry? FeIr4Pb


Number 8 is which compound? FeIr2Pb